Density functional theory data (PBE-GGA) for Sr2ZnCl after structural relaxation.

a b c (Å): 8.662 8.662 8.662
angles (deg): 153.91 152.40 38.34
Element x y z (fractional)
Cl  0.207  0.707  0.500
Sr  0.040  0.040  0.000
Sr  0.802  0.302  0.500
Zn  0.451  0.451  0.000

* raw total energy: -2.447 eV per atom
* spin magnetization: 0.000 μB per formula unit
* formation energy (no corrections): -0.83 eV/atom